Density functional theory data (PBE) for a relaxed TbPmSi2 crystal.

## Properties
- relative energy among the computed polymorphs (kcal/mol of atoms) = 7.91
- formation energy from raw total energies (eV/atom) = -0.456

extended XYZ file:
```
4
Lattice="3.332 0.000 0.000 0.000 3.332 0.000 0.000 0.000 8.100" Properties=species:S:1:pos:R:3 pbc="T T T"
Tb 0.000 0.000 0.000
Pm 0.000 0.000 4.050
Si 1.666 1.666 1.980
Si 1.666 1.666 6.119
```